Here is a relaxed structure of YSc2Rh3 from the Alexandria database. Energies are from PBE.

## Properties
ΔH_f (0 K) ... -939 meV/atom

Lattice parameters (Å, degrees): 3.291 3.291 9.950 90.00 90.00 90.00
Space group P4/mmm (No. 123)
Unique sites:
Y  0.000  0.000  0.000
Sc  0.000  0.000  0.340
Rh  0.500  0.500  0.183
Rh  0.500  0.500  0.500


Here is a relaxed structure of TaNiPb from the Alexandria database. Energies are from PBE.

## Properties
ΔH_f (0 K) ... 272 meV/atom

Lattice parameters (Å, degrees): 3.116 3.163 11.281 90.00 90.00 90.00
Space group Imm2 (No. 44)
Unique sites:
Ta  0.000  0.000  0.000
Ni  0.000  0.000  0.380
Pb  0.000  0.000  0.705